Record 1
A plane-wave DFT calculation with PBE was carried out for a relaxed DyLuScRh crystal.

It has space group F-43m (No. 216), with a = 7.108 Å, b = 7.108 Å, c = 7.108 Å, α = 90.00°, β = 90.00° and γ = 90.00°. Symmetry generates all atoms from Dy at (0.000, 0.000, 0.000), Lu at (0.000, 0.000, 0.500), Sc at (0.250, 0.250, 0.250) and Rh at (0.250, 0.250, 0.750).

The energy of formation from the pure elements is -0.239 eV per atom. As for the crystal system: cubic. For the raw total energy, the calculation gives -95.1 eV per cell.

***

Record 2
A plane-wave DFT calculation with PBE was carried out for a relaxed DyLuZnRh crystal.

It has space group F-43m (No. 216), with a = 6.903 Å, b = 6.903 Å, c = 6.903 Å, α = 90.00°, β = 90.00° and γ = 90.00°. Symmetry generates all atoms from Dy at (0.000, 0.000, 0.000), Lu at (0.000, 0.000, 0.500), Zn at (0.250, 0.250, 0.750) and Rh at (0.250, 0.250, 0.250).

The energy of formation from the pure elements is -0.636 eV per atom. As for the crystal system: cubic. For the raw total energy, the calculation gives -81.2 eV per cell.

***

Record 3
A plane-wave DFT calculation with PBE was carried out for a relaxed Dy2LuRu crystal.

It has space group R-3m (No. 166, hexagonal axes), with a = 3.4693 Å, b = 3.4693 Å, c = 31.5884 Å, α = 90.00°, β = 90.00° and γ = 120.00°. Symmetry generates all atoms from Dy at (0.0000, 0.0000, 0.1059), Lu at (0.0000, 0.0000, 0.0000) and Ru at (0.0000, 0.0000, 0.5000).

The energy of formation from the pure elements is 0.113 eV per atom. As for the crystal system: trigonal. For the raw total energy, the calculation gives -67.7 eV per cell.

***

Record 4
A plane-wave DFT calculation with PBE was carried out for a relaxed DyLuRu crystal.

It has space group F-43m (No. 216), with a = 6.690 Å, b = 6.690 Å, c = 6.690 Å, α = 90.00°, β = 90.00° and γ = 90.00°. Symmetry generates all atoms from Dy at (0.000, 0.000, 0.000), Lu at (0.000, 0.000, 0.500) and Ru at (0.250, 0.250, 0.250).

The energy of formation from the pure elements is -0.327 eV per atom. As for the crystal system: cubic. For the raw total energy, the calculation gives -77.5 eV per cell.

***

Record 5
A plane-wave DFT calculation with PBE was carried out for a relaxed DyLu2Ru crystal.

It has space group R-3m (No. 166, hexagonal axes), with a = 3.4220 Å, b = 3.4220 Å, c = 31.7719 Å, α = 90.00°, β = 90.00° and γ = 120.00°. Symmetry generates all atoms from Dy at (0.0000, 0.0000, 0.0000), Lu at (0.0000, 0.0000, 0.1072) and Ru at (0.0000, 0.0000, 0.5000).

The energy of formation from the pure elements is 0.055 eV per atom. As for the crystal system: trigonal. For the raw total energy, the calculation gives -68.1 eV per cell.

***

Record 6
A plane-wave DFT calculation with PBE was carried out for a relaxed DyLuRu crystal.

It has space group I4mm (No. 107), with a = 3.372 Å, b = 3.372 Å, c = 12.723 Å, α = 90.00°, β = 90.00° and γ = 90.00°. Symmetry generates all atoms from Dy at (0.000, 0.000, 0.000), Lu at (0.000, 0.000, 0.256) and Ru at (0.000, 0.000, 0.632).

The energy of formation from the pure elements is -0.393 eV per atom. As for the crystal system: tetragonal. For the raw total energy, the calculation gives -39.2 eV per cell.